Material: NdHgIr
Method: DFT, PBE-GGA
State: optimized geometry

Results
Energy of formation from the pure elements = -0.53 eV per atom

Unit cell a=4.0618 b=17.1852 c=4.1345 alpha=90.00 beta=90.00 gamma=90.00
With the nearest neighbours (Å) after each atom.
Fractional coordinates of all 12 atoms:
Nd: 0.0000 0.0988 0.2500  6 Ir 3.05-3.18, 1 Hg 3.34
Nd: 0.0000 0.9012 0.7500  6 Ir 3.05-3.18, 1 Hg 3.34
Nd: 0.5000 0.4012 0.7500  6 Ir 3.05-3.18, 1 Hg 3.34
Nd: 0.5000 0.5988 0.2500  6 Ir 3.05-3.18, 1 Hg 3.34
Hg: 0.0000 0.2933 0.2500  1 Ir 2.81
Hg: 0.0000 0.7067 0.7500  1 Ir 2.81
Hg: 0.5000 0.2067 0.7500  1 Ir 2.81
Hg: 0.5000 0.7933 0.2500  1 Ir 2.81
Ir: 0.0000 0.4568 0.2500  2 Ir 2.55, 1 Hg 2.81
Ir: 0.0000 0.5432 0.7500  2 Ir 2.55, 1 Hg 2.81
Ir: 0.5000 0.0432 0.7500  2 Ir 2.55, 1 Hg 2.81
Ir: 0.5000 0.9568 0.2500  2 Ir 2.55, 1 Hg 2.81

=====

Material: Cu3P4S4I3
Method: DFT, PBE-GGA
State: optimized geometry

Results
Raw formation energy = -215.1 meV/atom

Unit cell a=19.4839 b=19.4839 c=6.9855 alpha=90.00 beta=90.00 gamma=120.00
With the nearest neighbours (Å) after each atom.
Fractional coordinates of all 84 atoms:
Cu: 0.0000 0.1272 0.0000  1 P 2.21
Cu: 0.0000 0.8728 0.5000  1 P 2.21
Cu: 0.1272 0.0000 0.0000  1 P 2.21
Cu: 0.1272 0.1272 0.5000  1 P 2.21
Cu: 0.2042 0.5362 0.2956  1 P 2.22
Cu: 0.2042 0.6680 0.7956  1 P 2.22
Cu: 0.3320 0.5362 0.7956  1 P 2.22
Cu: 0.3320 0.7958 0.2956  1 P 2.22
Cu: 0.4638 0.6680 0.2956  1 P 2.22
Cu: 0.4638 0.7958 0.7956  1 P 2.22
Cu: 0.5362 0.2042 0.2956  1 P 2.22
Cu: 0.5362 0.3320 0.7956  1 P 2.22
Cu: 0.6680 0.2042 0.7956  1 P 2.22
Cu: 0.6680 0.4638 0.2956  1 P 2.22
Cu: 0.7958 0.3320 0.2956  1 P 2.22
Cu: 0.7958 0.4638 0.7956  1 P 2.22
Cu: 0.8728 0.0000 0.5000  1 P 2.21
Cu: 0.8728 0.8728 0.0000  1 P 2.21
P: 0.0000 0.2366 0.0820  3 S 2.13-2.15, 1 Cu 2.21
P: 0.0000 0.3988 0.9868  1 S 2.07, 2 P 2.30
P: 0.0000 0.6012 0.4868  1 S 2.07, 2 P 2.30
P: 0.0000 0.7634 0.5820  3 S 2.13-2.15, 1 Cu 2.21
P: 0.0916 0.4269 0.2249  2 S 2.13-2.14, 1 Cu 2.22, 1 P 2.30
P: 0.0916 0.6647 0.7249  2 S 2.13-2.14, 1 Cu 2.22, 1 P 2.30
P: 0.2366 0.0000 0.0820  3 S 2.13-2.15, 1 Cu 2.21
P: 0.2366 0.2366 0.5820  3 S 2.13-2.15, 1 Cu 2.21
P: 0.3353 0.4269 0.7249  2 S 2.13-2.14, 1 Cu 2.22, 1 P 2.30
P: 0.3353 0.9084 0.2249  2 S 2.13-2.14, 1 Cu 2.22, 1 P 2.30
P: 0.3988 0.0000 0.9868  1 S 2.07, 2 P 2.30
P: 0.3988 0.3988 0.4868  1 S 2.07, 2 P 2.30
P: 0.4269 0.0916 0.2249  2 S 2.13-2.14, 1 Cu 2.22, 1 P 2.30
P: 0.4269 0.3353 0.7249  2 S 2.13-2.14, 1 Cu 2.22, 1 P 2.30
P: 0.5731 0.6647 0.2249  2 S 2.13-2.14, 1 Cu 2.22, 1 P 2.30
P: 0.5731 0.9084 0.7249  2 S 2.13-2.14, 1 Cu 2.22, 1 P 2.30
P: 0.6012 0.0000 0.4868  1 S 2.07, 2 P 2.30
P: 0.6012 0.6012 0.9868  1 S 2.07, 2 P 2.30
P: 0.6647 0.0916 0.7249  2 S 2.13-2.14, 1 Cu 2.22, 1 P 2.30
P: 0.6647 0.5731 0.2249  2 S 2.13-2.14, 1 Cu 2.22, 1 P 2.30
P: 0.7634 0.0000 0.5820  3 S 2.13-2.15, 1 Cu 2.21
P: 0.7634 0.7634 0.0820  3 S 2.13-2.15, 1 Cu 2.21
P: 0.9084 0.3353 0.2249  2 S 2.13-2.14, 1 Cu 2.22, 1 P 2.30
P: 0.9084 0.5731 0.7249  2 S 2.13-2.14, 1 Cu 2.22, 1 P 2.30
S: 0.0000 0.3061 0.8432  2 P 2.07-2.15
S: 0.0000 0.4104 0.4213  2 P 2.14
S: 0.0000 0.5896 0.9213  2 P 2.14
S: 0.0000 0.6939 0.3432  2 P 2.07-2.15
S: 0.1021 0.3235 0.2300  2 P 2.13
S: 0.1021 0.7786 0.7300  2 P 2.13
S: 0.2214 0.3235 0.7300  2 P 2.13
S: 0.2214 0.8979 0.2300  2 P 2.13
S: 0.3061 0.0000 0.8432  2 P 2.07-2.15
S: 0.3061 0.3061 0.3432  2 P 2.07-2.15
S: 0.3235 0.1021 0.2300  2 P 2.13
S: 0.3235 0.2214 0.7300  2 P 2.13
S: 0.4104 0.0000 0.4213  2 P 2.14
S: 0.4104 0.4104 0.9213  2 P 2.14
S: 0.5896 0.0000 0.9213  2 P 2.14
S: 0.5896 0.5896 0.4213  2 P 2.14
S: 0.6765 0.7786 0.2300  2 P 2.13
S: 0.6765 0.8979 0.7300  2 P 2.13
S: 0.6939 0.0000 0.3432  2 P 2.07-2.15
S: 0.6939 0.6939 0.8432  2 P 2.07-2.15
S: 0.7786 0.1021 0.7300  2 P 2.13
S: 0.7786 0.6765 0.2300  2 P 2.13
S: 0.8979 0.2214 0.2300  2 P 2.13
S: 0.8979 0.6765 0.7300  2 P 2.13
I: 0.0000 0.1280 0.6200  3 Cu 2.62-2.65
I: 0.0000 0.8720 0.1200  3 Cu 2.62-2.65
I: 0.1280 0.0000 0.6200  3 Cu 2.62-2.65
I: 0.1280 0.1280 0.1200  3 Cu 2.62-2.65
I: 0.2041 0.5385 0.6790  3 Cu 2.64-2.68
I: 0.2041 0.6655 0.1790  3 Cu 2.64-2.68
I: 0.3345 0.5385 0.1790  3 Cu 2.64-2.68
I: 0.3345 0.7959 0.6790  3 Cu 2.64-2.68
I: 0.4615 0.6655 0.6790  3 Cu 2.64-2.68
I: 0.4615 0.7959 0.1790  3 Cu 2.64-2.68
I: 0.5385 0.2041 0.6790  3 Cu 2.64-2.68
I: 0.5385 0.3345 0.1790  3 Cu 2.64-2.68
I: 0.6655 0.2041 0.1790  3 Cu 2.64-2.68
I: 0.6655 0.4615 0.6790  3 Cu 2.64-2.68
I: 0.7959 0.3345 0.6790  3 Cu 2.64-2.68
I: 0.7959 0.4615 0.1790  3 Cu 2.64-2.68
I: 0.8720 0.0000 0.1200  3 Cu 2.62-2.65
I: 0.8720 0.8720 0.6200  3 Cu 2.62-2.65

=====

Material: Tb2CeSc4
Method: DFT, PBE-GGA
State: optimized geometry

Results
Energy above the most stable polymorph in this dataset = 0.99 eV/f.u.
Energy of formation from the pure elements = 0.20 eV per atom

Unit cell a=3.5737 b=21.2176 c=5.2453 alpha=90.00 beta=90.00 gamma=90.00
With the nearest neighbours (Å) after each atom.
Fractional coordinates of all 14 atoms:
Tb: 0.0000 0.0742 0.0000  1 Tb 3.15, 4 Sc 3.17-3.47
Tb: 0.0000 0.9258 0.0000  1 Tb 3.15, 4 Sc 3.17-3.47
Tb: 0.5000 0.4258 0.0000  1 Tb 3.15, 4 Sc 3.17-3.47
Tb: 0.5000 0.5742 0.0000  1 Tb 3.15, 4 Sc 3.17-3.47
Ce: 0.0000 0.5000 0.5000  8 Tb 3.54, 2 Ce 3.57
Ce: 0.5000 0.0000 0.5000  8 Tb 3.54, 2 Ce 3.57
Sc: 0.0000 0.1813 0.5000  8 Sc 3.19-3.57, 2 Tb 3.47
Sc: 0.0000 0.3026 0.0000  6 Sc 2.86-3.19, 2 Tb 3.17
Sc: 0.0000 0.6974 0.0000  6 Sc 2.86-3.19, 2 Tb 3.17
Sc: 0.0000 0.8187 0.5000  8 Sc 3.19-3.57, 2 Tb 3.47
Sc: 0.5000 0.1974 0.0000  6 Sc 2.86-3.19, 2 Tb 3.17
Sc: 0.5000 0.3187 0.5000  8 Sc 3.19-3.57, 2 Tb 3.47
Sc: 0.5000 0.6813 0.5000  8 Sc 3.19-3.57, 2 Tb 3.47
Sc: 0.5000 0.8026 0.0000  6 Sc 2.86-3.19, 2 Tb 3.17